1.
This record from the Alexandria database describes crystalline LaMoPt2 at its relaxed geometry. The functional is GGA-PBE.

The space group is I-4m2 (No. 119) and the conventional cell measures 4.223, 4.223 and 8.703 Å, with angles of 90.00, 90.00 and 90.00 degrees. Symmetry generates all atoms from La at (0.000, 0.000, 0.000), Mo at (0.000, 0.500, 0.750), Pt at (0.000, 0.000, 0.500) and Pt at (0.000, 0.500, 0.250).

The value obtained for the energy above the lowest structure with this stoichiometry is 0.372 eV/atom. For the energy of formation, the calculation gives -135 meV per atom.

---

2.
This record from the Alexandria database describes crystalline LiNbHg at its relaxed geometry. The functional is GGA-PBE.

The space group is C2/m (No. 12) and the conventional cell measures 5.074, 8.658 and 5.182 Å, with angles of 90.00, 96.23 and 90.00 degrees. Symmetry generates all atoms from Li at (0.000, 0.166, 0.000), Nb at (0.000, 0.340, 0.500), Hg at (0.000, 0.000, 0.500) and Hg at (0.000, 0.500, 0.000).

The value obtained for the energy above the lowest structure with this stoichiometry is 0.189 eV/atom. For the energy of formation, the calculation gives 176 meV per atom.

---

3.
This record from the Alexandria database describes crystalline Ce2CdHgIr at its relaxed geometry. The functional is GGA-PBE.

The space group is P2_1/m (No. 11) and the conventional cell measures 8.139, 4.109 and 8.269 Å, with angles of 90.00, 111.50 and 90.00 degrees. Symmetry generates all atoms from Ce at (0.006, 0.250, 0.217), Ce at (0.343, 0.750, 0.615), Cd at (0.314, 0.750, 0.202), Hg at (0.348, 0.250, 0.957) and Ir at (0.107, 0.250, 0.612).

For the energy of formation, the calculation gives -406 meV per atom.

---

4.
This record from the Alexandria database describes crystalline LiCdRhO3 at its relaxed geometry. The functional is GGA-PBE.

The space group is P2_1/m (No. 11) and the conventional cell measures 5.802, 3.203 and 8.087 Å, with angles of 90.00, 104.32 and 90.00 degrees. Symmetry generates all atoms from Li at (0.169, 0.250, 0.062), Cd at (0.134, 0.750, 0.694), Rh at (0.378, 0.750, 0.341), O at (0.038, 0.750, 0.172), O at (0.282, 0.250, 0.486) and O at (0.477, 0.250, 0.213).

The value obtained for the uncorrected formation energy is -1.075 eV/atom.

---

5.
This record from the Alexandria database describes crystalline Gd2DyIn at its relaxed geometry. The functional is GGA-PBE.

The space group is Fm-3m (No. 225) and the conventional cell measures 7.742, 7.742 and 7.742 Å, with angles of 90.00, 90.00 and 90.00 degrees. Symmetry generates all atoms from Gd at (0.250, 0.250, 0.250), Dy at (0.000, 0.000, 0.000) and In at (0.000, 0.000, 0.500).

The value obtained for the energy above the lowest structure with this stoichiometry is 0.128 eV/atom. For the energy of formation, the calculation gives -165 meV per atom.

---

6.
This record from the Alexandria database describes crystalline PmPaGaSn at its relaxed geometry. The functional is GGA-PBE.

The space group is F-43m (No. 216) and the conventional cell measures 7.454, 7.454 and 7.454 Å, with angles of 90.00, 90.00 and 90.00 degrees. Symmetry generates all atoms from Pm at (0.000, 0.000, 0.000), Pa at (0.000, 0.000, 0.500), Ga at (0.250, 0.250, 0.750) and Sn at (0.250, 0.250, 0.250).

For the energy of formation, the calculation gives -243 meV per atom.

---

7.
This record from the Alexandria database describes crystalline PmHo3 at its relaxed geometry. The functional is GGA-PBE.

The space group is Fm-3m (No. 225) and the conventional cell measures 8.017, 8.017 and 8.017 Å, with angles of 90.00, 90.00 and 90.00 degrees. Symmetry generates all atoms from Pm at (0.000, 0.000, 0.000), Ho at (0.000, 0.000, 0.500) and Ho at (0.250, 0.250, 0.250).

The value obtained for the energy above the lowest structure with this stoichiometry is 0.126 eV/atom. For the energy of formation, the calculation gives 137 meV per atom.

---

8.
This record from the Alexandria database describes crystalline TbPr3Er at its relaxed geometry. The functional is GGA-PBE.

The space group is Cmcm (No. 63) and the conventional cell measures 8.080, 14.276 and 6.215 Å, with angles of 90.00, 90.00 and 90.00 degrees. Symmetry generates all atoms from Tb at (0.000, 0.199, 0.250), Pr at (0.000, 0.000, 0.000), Pr at (0.201, 0.395, 0.250) and Er at (0.000, 0.323, 0.750).

The value obtained for the energy above the lowest structure with this stoichiometry is 0.321 eV/atom. For the energy of formation, the calculation gives 338 meV per atom.

---

9.
This record from the Alexandria database describes crystalline Zr2TiI at its relaxed geometry. The functional is GGA-PBE.

The space group is Fm-3m (No. 225) and the conventional cell measures 7.051, 7.051 and 7.051 Å, with angles of 90.00, 90.00 and 90.00 degrees. Symmetry generates all atoms from Zr at (0.250, 0.250, 0.250), Ti at (0.000, 0.000, 0.000) and I at (0.000, 0.000, 0.500).

The value obtained for the energy above the lowest structure with this stoichiometry is 0.000 eV/atom. The value obtained for the uncorrected formation energy is 0.402 eV/atom.

---

10.
This record from the Alexandria database describes crystalline Zr2ZnCd at its relaxed geometry. The functional is GGA-PBE.

The space group is C2/m (No. 12) and the conventional cell measures 10.444, 3.043 and 5.329 Å, with angles of 90.00, 99.49 and 90.00 degrees. Symmetry generates all atoms from Zr at (0.247, 0.000, 0.239), Zn at (0.000, 0.500, 0.000) and Cd at (0.000, 0.000, 0.500).

The value obtained for the energy above the lowest structure with this stoichiometry is 0.165 eV/atom. For the energy of formation, the calculation gives -17 meV per atom.

---

11.
This record from the Alexandria database describes crystalline CePmZnCd at its relaxed geometry. The functional is GGA-PBE.

The space group is P4mm (No. 99) and the conventional cell measures 3.671, 3.671 and 7.734 Å, with angles of 90.00, 90.00 and 90.00 degrees. Symmetry generates all atoms from Ce at (0.000, 0.000, 0.000), Pm at (0.000, 0.000, 0.459), Zn at (0.500, 0.500, 0.232) and Cd at (0.500, 0.500, 0.727).

The value obtained for the energy above the lowest structure with this stoichiometry is 0.000 eV/atom. For the energy of formation, the calculation gives -231 meV per atom.

---

12.
This record from the Alexandria database describes crystalline YMgSc4 at its relaxed geometry. The functional is GGA-PBE.

The space group is P4/mmm (No. 123) and the conventional cell measures 3.343, 3.343 and 13.659 Å, with angles of 90.00, 90.00 and 90.00 degrees. Symmetry generates all atoms from Y at (0.000, 0.000, 0.000), Mg at (0.500, 0.500, 0.500), Sc at (0.000, 0.000, 0.341) and Sc at (0.500, 0.500, 0.180).

The value obtained for the energy above the lowest structure with this stoichiometry is 0.000 eV/atom. For the energy of formation, the calculation gives 18 meV per atom.

---

13.
This record from the Alexandria database describes crystalline BeCr2Cu at its relaxed geometry. The functional is GGA-PBE.

The space group is P4mm (No. 99) and the conventional cell measures 2.899, 2.899 and 5.360 Å, with angles of 90.00, 90.00 and 90.00 degrees. Symmetry generates all atoms from Be at (0.000, 0.000, 0.000), Cr at (0.000, 0.000, 0.471), Cr at (0.500, 0.500, 0.258) and Cu at (0.500, 0.500, 0.779).

For the energy of formation, the calculation gives 136 meV per atom.

---

14.
This record from the Alexandria database describes crystalline Ba3Pa2Sb2O5 at its relaxed geometry. The functional is GGA-PBE.

The space group is I4/mmm (No. 139) and the conventional cell measures 4.498, 4.498 and 30.287 Å, with angles of 90.00, 90.00 and 90.00 degrees. Symmetry generates all atoms from Ba at (0.000, 0.000, 0.000), Ba at (0.000, 0.000, 0.202), Pa at (0.000, 0.000, 0.428), Sb at (0.000, 0.000, 0.326), O at (0.000, 0.000, 0.500) and O at (0.000, 0.500, 0.063).

The value obtained for the uncorrected formation energy is -2.447 eV/atom.

---

15.
This record from the Alexandria database describes crystalline GaH3Ru at its relaxed geometry. The functional is GGA-PBE.

The space group is Pm-3m (No. 221) and the conventional cell measures 3.494, 3.494 and 3.494 Å, with angles of 90.00, 90.00 and 90.00 degrees. Symmetry generates all atoms from Ga at (0.000, 0.000, 0.000), H at (0.000, 0.000, 0.500) and Ru at (0.500, 0.500, 0.500).

The value obtained for the energy above the lowest structure with this stoichiometry is 0.958 eV/atom.

---

16.
This record from the Alexandria database describes crystalline LaDyAu at its relaxed geometry. The functional is GGA-PBE.

The space group is P3m1 (No. 156) and the conventional cell measures 4.9584, 4.9584 and 4.1192 Å, with angles of 90.00, 90.00 and 120.00 degrees. Symmetry generates all atoms from La at (0.0000, 0.0000, 0.0000), Dy at (0.6667, 0.3333, 0.4875) and Au at (0.3333, 0.6667, 0.5672).

The value obtained for the energy above the lowest structure with this stoichiometry is 0.171 eV/atom. For the energy of formation, the calculation gives -416 meV per atom.

---

17.
This record from the Alexandria database describes crystalline BeCrTc2 at its relaxed geometry. The functional is GGA-PBE.

The space group is Immm (No. 71) and the conventional cell measures 3.006, 4.252 and 7.928 Å, with angles of 90.00, 90.00 and 90.00 degrees. Symmetry generates all atoms from Be at (0.000, 0.000, 0.000), Cr at (0.000, 0.000, 0.500) and Tc at (0.000, 0.500, 0.247).

For the energy of formation, the calculation gives 43 meV per atom.

---

18.
This record from the Alexandria database describes crystalline CdSi at its relaxed geometry. The functional is GGA-PBE.

The space group is R-3m (No. 166, hexagonal axes) and the conventional cell measures 2.9691, 2.9691 and 30.8670 Å, with angles of 90.00, 90.00 and 120.00 degrees. Symmetry generates all atoms from Cd at (0.0000, 0.0000, 0.1178) and Si at (0.0000, 0.0000, 0.3639).

The value obtained for the uncorrected formation energy is 0.332 eV/atom.

---

19.
This record from the Alexandria database describes crystalline Tl2FeSi at its relaxed geometry. The functional is GGA-PBE.

The space group is C2/m (No. 12) and the conventional cell measures 6.383, 8.129 and 3.232 Å, with angles of 90.00, 93.10 and 90.00 degrees. Symmetry generates all atoms from Tl at (0.250, 0.250, 0.000), Fe at (0.000, 0.000, 0.500) and Si at (0.000, 0.500, 0.500).

The value obtained for the energy above the lowest structure with this stoichiometry is 0.513 eV/atom. The value obtained for the uncorrected formation energy is 0.747 eV/atom.

---

20.
This record from the Alexandria database describes crystalline TaBe3 at its relaxed geometry. The functional is GGA-PBE.

The space group is Pmm2 (No. 25) and the conventional cell measures 2.534, 3.511 and 5.076 Å, with angles of 90.00, 90.00 and 90.00 degrees. Symmetry generates all atoms from Ta at (0.000, 0.000, 0.000), Be at (0.000, 0.500, 0.614), Be at (0.500, 0.000, 0.504) and Be at (0.500, 0.500, 0.259).

For the energy of formation, the calculation gives 229 meV per atom.

---

21.
This record from the Alexandria database describes crystalline AcDyAl2Hg5 at its relaxed geometry. The functional is GGA-PBE.

The space group is P4/mmm (No. 123) and the conventional cell measures 5.246, 5.246 and 8.377 Å, with angles of 90.00, 90.00 and 90.00 degrees. Symmetry generates all atoms from Ac at (0.000, 0.000, 0.000), Dy at (0.000, 0.000, 0.500), Al at (0.500, 0.500, 0.344), Hg at (0.000, 0.500, 0.274) and Hg at (0.500, 0.500, 0.000).

For the energy of formation, the calculation gives -185 meV per atom.

---

22.
This record from the Alexandria database describes crystalline Pr5Sm12Y at its relaxed geometry. The functional is GGA-PBE.

The space group is C2/m (No. 12) and the conventional cell measures 6.345, 10.981 and 17.891 Å, with angles of 90.00, 96.79 and 90.00 degrees. Symmetry generates all atoms from Pr at (0.000, 0.000, 0.000), Pr at (0.000, 0.167, 0.500), Pr at (0.000, 0.333, 0.000), Sm at (0.110, 0.334, 0.332), Sm at (0.111, 0.000, 0.332), Sm at (0.222, 0.167, 0.167), Sm at (0.223, 0.500, 0.167) and Y at (0.000, 0.500, 0.500).

For the energy of formation, the calculation gives 4 meV per atom.

---

23.
This record from the Alexandria database describes crystalline TbSm3Hg4 at its relaxed geometry. The functional is GGA-PBE.

The space group is P4/mmm (No. 123) and the conventional cell measures 3.776, 3.776 and 15.155 Å, with angles of 90.00, 90.00 and 90.00 degrees. Symmetry generates all atoms from Tb at (0.000, 0.000, 0.000), Sm at (0.000, 0.000, 0.248), Sm at (0.000, 0.000, 0.500), Hg at (0.500, 0.500, 0.119) and Hg at (0.500, 0.500, 0.374).

The value obtained for the energy above the lowest structure with this stoichiometry is 0.000 eV/atom. For the energy of formation, the calculation gives -474 meV per atom.

---

24.
This record from the Alexandria database describes crystalline HfNi3H at its relaxed geometry. The functional is GGA-PBE.

The space group is Pm-3m (No. 221) and the conventional cell measures 3.795, 3.795 and 3.795 Å, with angles of 90.00, 90.00 and 90.00 degrees. Symmetry generates all atoms from Hf at (0.000, 0.000, 0.000), Ni at (0.000, 0.500, 0.500) and H at (0.500, 0.500, 0.500).

The value obtained for the energy above the lowest structure with this stoichiometry is 0.013 eV/atom.

---

25.
This record from the Alexandria database describes crystalline CaTaMo2 at its relaxed geometry. The functional is GGA-PBE.

The space group is P2/m (No. 10) and the conventional cell measures 2.955, 4.485 and 6.380 Å, with angles of 90.00, 98.04 and 90.00 degrees. Symmetry generates all atoms from Ca at (0.000, 0.000, 0.000), Ta at (0.500, 0.000, 0.500) and Mo at (0.190, 0.500, 0.678).

The value obtained for the energy above the lowest structure with this stoichiometry is 0.058 eV/atom. For the energy of formation, the calculation gives 486 meV per atom.

---

26.
This record from the Alexandria database describes crystalline ErZrTcRu at its relaxed geometry. The functional is GGA-PBE.

The space group is F-43m (No. 216) and the conventional cell measures 6.660, 6.660 and 6.660 Å, with angles of 90.00, 90.00 and 90.00 degrees. Symmetry generates all atoms from Er at (0.000, 0.000, 0.000), Zr at (0.000, 0.000, 0.500), Tc at (0.250, 0.250, 0.750) and Ru at (0.250, 0.250, 0.250).

For the energy of formation, the calculation gives -290 meV per atom.

---

27.
This record from the Alexandria database describes crystalline Cd3HgI8 at its relaxed geometry. The functional is GGA-PBE.

The space group is C2/m (No. 12) and the conventional cell measures 15.030, 8.663 and 8.996 Å, with angles of 90.00, 123.74 and 90.00 degrees. Symmetry generates all atoms from Cd at (0.000, 0.000, 0.000), Cd at (0.250, 0.250, 0.000), Hg at (0.000, 0.500, 0.000), I at (0.007, 0.248, 0.768), I at (0.243, 0.000, 0.230) and I at (0.246, 0.500, 0.232).

The value obtained for the uncorrected formation energy is -0.480 eV/atom.

---

no.,magnetic moment (μB/cell)
1,4.53
2,3.24
3,2.78
4,0.00
5,62.78
6,8.25
7,0.00
8,0.00
9,3.07
10,0.00
11,0.95
12,0.00
13,0.28
14,0.51
15,1.92
16,0.00
17,1.34
18,0.00
19,5.78
20,0.00
21,0.00
22,0.00
23,1.51
24,0.00
25,0.00
26,0.00
27,0.00